(1)
The following is a PBE-GGA calculation of crystalline SrMnAgCl6 at its relaxed geometry, from the Alexandria database.

Cell and atoms, written as CIF:
```
data_SrMnAgCl6
_space_group_name_H-M_alt 'P 1'
_space_group_IT_number 1
_space_group_name_Hall 'P 1'
_cell_length_a 6.813
_cell_length_b 6.813
_cell_length_c 11.572
_cell_angle_alpha 90.00
_cell_angle_beta 90.00
_cell_angle_gamma 120.00
loop_
_atom_site_label
_atom_site_fract_x
_atom_site_fract_y
_atom_site_fract_z
Sr1 0.333 0.667 0.250
Sr2 0.667 0.333 0.750
Cl1 0.055 0.369 0.627
Cl2 0.686 0.055 0.373
Cl3 0.314 0.945 0.627
Cl4 0.369 0.055 0.127
Cl5 0.686 0.631 0.127
Cl6 0.314 0.369 0.873
Cl7 0.945 0.631 0.373
Cl8 0.945 0.314 0.127
Cl9 0.631 0.945 0.873
Cl10 0.369 0.314 0.373
Cl11 0.631 0.686 0.627
Cl12 0.055 0.686 0.873
Ag1 0.000 0.000 0.500
Ag2 0.000 0.000 0.000
Mn1 0.667 0.333 0.250
Mn2 0.333 0.667 0.750
```

## Properties
ρ, g/cm³: 3.3
Fermi-level density of states, states/eV/f.u.: 3.12
Formation energy without anion corrections, eV per atom: -1.31

=====

(2)
The following is a PBE-GGA calculation of crystalline SrMn2AgCl8 at its relaxed geometry, from the Alexandria database.

Cell and atoms, written as CIF:
```
data_SrMn2AgCl8
_space_group_name_H-M_alt 'P 1'
_space_group_IT_number 1
_space_group_name_Hall 'P 1'
_cell_length_a 7.448
_cell_length_b 7.448
_cell_length_c 7.839
_cell_angle_alpha 90.00
_cell_angle_beta 90.00
_cell_angle_gamma 120.00
loop_
_atom_site_label
_atom_site_fract_x
_atom_site_fract_y
_atom_site_fract_z
Mn1 0.667 0.333 0.190
Mn2 0.333 0.667 0.810
Cl1 0.156 0.321 0.726
Cl2 0.164 0.844 0.726
Cl3 0.667 0.333 0.908
Cl4 0.844 0.679 0.274
Cl5 0.333 0.667 0.092
Cl6 0.679 0.836 0.726
Cl7 0.321 0.164 0.274
Cl8 0.836 0.156 0.274
Ag1 0.000 0.000 0.500
Sr1 0.000 0.000 0.000
```

## Properties
ρ, g/cm³: 2.6
Fermi-level density of states, states/eV/f.u.: 6.45
Formation energy without anion corrections, eV per atom: -1.21

=====

- Which formula does entry 2 have?
  SrMn2AgCl8

=====

- Which of these has the lowest Fermi-level density of states?
  SrMnAgCl6

=====

- What is the formula in the second record?
  SrMn2AgCl8